Entry 1:
# SiBiPb3, optimized geometry, DFT PBE
data_SiBiPb3
_chemical_formula_sum 'Si1 Bi1 Pb3'
_symmetry_space_group_name_H-M 'P m -3 m'
_symmetry_Int_Tables_number 221
_symmetry_space_group_name_Hall '-P 4 2 3'
_cell_length_a 5.461
_cell_length_b 5.461
_cell_length_c 5.461
_cell_angle_alpha 90.00
_cell_angle_beta 90.00
_cell_angle_gamma 90.00
loop_
_atom_site_label
_atom_site_type_symbol
_atom_site_fract_x
_atom_site_fract_y
_atom_site_fract_z
Si1 Si 0.000 0.000 0.000
Bi1 Bi 0.500 0.500 0.500
Pb1 Pb 0.000 0.000 0.500
# * uncorrected formation energy: 0.40 eV/atom
# * polymorph energy (0 for the lowest one): 0.00 eV per formula unit

=====

Entry 2:
# Si2BiPb, optimized geometry, DFT PBE
data_Si2BiPb
_chemical_formula_sum 'Si8 Bi4 Pb4'
_symmetry_space_group_name_H-M 'F m -3 m'
_symmetry_Int_Tables_number 225
_symmetry_space_group_name_Hall '-F 4 2 3'
_cell_length_a 7.257
_cell_length_b 7.257
_cell_length_c 7.257
_cell_angle_alpha 90.00
_cell_angle_beta 90.00
_cell_angle_gamma 90.00
loop_
_atom_site_label
_atom_site_type_symbol
_atom_site_fract_x
_atom_site_fract_y
_atom_site_fract_z
Si1 Si 0.250 0.250 0.250
Bi1 Bi 0.000 0.000 0.000
Pb1 Pb 0.000 0.000 0.500
# * uncorrected formation energy: 0.57 eV/atom
# * polymorph energy (0 for the lowest one): 0.16 eV per formula unit

=====

Entry 3:
# SiBi2Pb, optimized geometry, DFT PBE
data_SiBi2Pb
_chemical_formula_sum 'Si4 Bi8 Pb4'
_symmetry_space_group_name_H-M 'I -4 2 d'
_symmetry_Int_Tables_number 122
_symmetry_space_group_name_Hall 'I -4 2bw'
_cell_length_a 8.507
_cell_length_b 8.507
_cell_length_c 6.543
_cell_angle_alpha 90.00
_cell_angle_beta 90.00
_cell_angle_gamma 90.00
loop_
_atom_site_label
_atom_site_type_symbol
_atom_site_fract_x
_atom_site_fract_y
_atom_site_fract_z
Si1 Si 0.000 0.000 0.000
Bi1 Bi 0.209 0.250 0.125
Pb1 Pb 0.000 0.000 0.500
# * uncorrected formation energy: 0.27 eV/atom
# * polymorph energy (0 for the lowest one): 0.00 eV per formula unit

=====

Entry 4:
# Si2TcBiPb, optimized geometry, DFT PBE
data_Si2TcBiPb
_chemical_formula_sum 'Si2 Tc1 Bi1 Pb1'
_symmetry_space_group_name_H-M 'P 4/m m m'
_symmetry_Int_Tables_number 123
_symmetry_space_group_name_Hall '-P 4 2'
_cell_length_a 5.238
_cell_length_b 5.238
_cell_length_c 5.258
_cell_angle_alpha 90.00
_cell_angle_beta 90.00
_cell_angle_gamma 90.00
loop_
_atom_site_label
_atom_site_type_symbol
_atom_site_fract_x
_atom_site_fract_y
_atom_site_fract_z
Si1 Si 0.000 0.500 0.000
Tc1 Tc 0.000 0.000 0.500
Bi1 Bi 0.500 0.500 0.500
Pb1 Pb 0.000 0.000 0.000
# * uncorrected formation energy: 1.67 eV/atom

=====

Entry 5:
# Sm5Bi2Pb, optimized geometry, DFT PBE
data_Sm5Bi2Pb
_chemical_formula_sum 'Sm10 Bi4 Pb2'
_symmetry_space_group_name_H-M 'I 4 m m'
_symmetry_Int_Tables_number 107
_symmetry_space_group_name_Hall 'I 4 -2'
_cell_length_a 8.299
_cell_length_b 8.299
_cell_length_c 7.098
_cell_angle_alpha 90.00
_cell_angle_beta 90.00
_cell_angle_gamma 90.00
loop_
_atom_site_label
_atom_site_type_symbol
_atom_site_fract_x
_atom_site_fract_y
_atom_site_fract_z
Sm1 Sm 0.000 0.000 0.000
Sm2 Sm 0.250 0.250 0.250
Bi1 Bi 0.000 0.500 0.000
Pb1 Pb 0.000 0.000 0.499
# * energy of formation from the pure elements: -0.44 eV/atom

=====

Entry 6:
# Sm4BiPb2, optimized geometry, DFT PBE
data_Sm4BiPb2
_chemical_formula_sum 'Sm8 Bi2 Pb4'
_symmetry_space_group_name_H-M 'P 1 21/m 1'
_symmetry_Int_Tables_number 11
_cell_length_a 6.319
_cell_length_b 6.700
_cell_length_c 10.611
_cell_angle_alpha 90.00
_cell_angle_beta 98.34
_cell_angle_gamma 90.00
loop_
_symmetry_equiv_pos_as_xyz
'x,y,z'
'-x,-y,-z'
'-x,y+1/2,-z'
'x,-y+1/2,z'
loop_
_atom_site_label
_atom_site_type_symbol
_atom_site_fract_x
_atom_site_fract_y
_atom_site_fract_z
Sm1 Sm 0.036 0.250 0.162
Sm2 Sm 0.143 0.750 0.449
Sm3 Sm 0.424 0.009 0.730
Bi1 Bi 0.043 0.750 0.154
Pb1 Pb 0.305 0.250 0.454
Pb2 Pb 0.499 0.250 0.007
# * energy of formation from the pure elements: -0.48 eV/atom
# * polymorph energy (0 for the lowest one): 1.18 eV per formula unit

=====

Entry 7:
# Sm4BiPb2, optimized geometry, DFT PBE
data_Sm4BiPb2
_chemical_formula_sum 'Sm16 Bi4 Pb8'
_symmetry_space_group_name_H-M 'I -4 2 d'
_symmetry_Int_Tables_number 122
_symmetry_space_group_name_Hall 'I -4 2bw'
_cell_length_a 9.601
_cell_length_b 9.601
_cell_length_c 9.571
_cell_angle_alpha 90.00
_cell_angle_beta 90.00
_cell_angle_gamma 90.00
loop_
_atom_site_label
_atom_site_type_symbol
_atom_site_fract_x
_atom_site_fract_y
_atom_site_fract_z
Sm1 Sm 0.072 0.679 0.444
Bi1 Bi 0.000 0.000 0.500
Pb1 Pb 0.127 0.750 0.125
# * energy of formation from the pure elements: -0.65 eV/atom
# * polymorph energy (0 for the lowest one): 0.00 eV per formula unit

=====

Entry 8:
# Sm5Bi2Pb2, optimized geometry, DFT PBE
data_Sm5Bi2Pb2
_chemical_formula_sum 'Sm20 Bi8 Pb8'
_symmetry_space_group_name_H-M 'C m c e'
_symmetry_Int_Tables_number 64
_symmetry_space_group_name_Hall '-C 2ac 2'
_cell_length_a 15.898
_cell_length_b 8.466
_cell_length_c 8.519
_cell_angle_alpha 90.00
_cell_angle_beta 90.00
_cell_angle_gamma 90.00
loop_
_atom_site_label
_atom_site_type_symbol
_atom_site_fract_x
_atom_site_fract_y
_atom_site_fract_z
Sm1 Sm 0.000 0.000 0.000
Sm2 Sm 0.138 0.164 0.339
Bi1 Bi 0.000 0.141 0.642
Pb1 Pb 0.202 0.000 0.000
# * energy of formation from the pure elements: -0.69 eV/atom
# * polymorph energy (0 for the lowest one): 0.31 eV per formula unit

=====

Entry 9:
# SmBiPb2, optimized geometry, DFT PBE
data_SmBiPb2
_chemical_formula_sum 'Sm1 Bi1 Pb2'
_symmetry_space_group_name_H-M 'P 4/m m m'
_symmetry_Int_Tables_number 123
_symmetry_space_group_name_Hall '-P 4 2'
_cell_length_a 4.870
_cell_length_b 4.870
_cell_length_c 5.087
_cell_angle_alpha 90.00
_cell_angle_beta 90.00
_cell_angle_gamma 90.00
loop_
_atom_site_label
_atom_site_type_symbol
_atom_site_fract_x
_atom_site_fract_y
_atom_site_fract_z
Sm1 Sm 0.000 0.000 0.000
Bi1 Bi 0.500 0.500 0.000
Pb1 Pb 0.000 0.500 0.500
# * energy of formation from the pure elements: -0.37 eV/atom

=====

Entry 10:
# Sm2BiPb, optimized geometry, DFT PBE
data_Sm2BiPb
_chemical_formula_sum 'Sm2 Bi1 Pb1'
_symmetry_space_group_name_H-M 'P 4/m m m'
_symmetry_Int_Tables_number 123
_symmetry_space_group_name_Hall '-P 4 2'
_cell_length_a 4.161
_cell_length_b 4.161
_cell_length_c 6.973
_cell_angle_alpha 90.00
_cell_angle_beta 90.00
_cell_angle_gamma 90.00
loop_
_atom_site_label
_atom_site_type_symbol
_atom_site_fract_x
_atom_site_fract_y
_atom_site_fract_z
Sm1 Sm 0.000 0.000 0.248
Bi1 Bi 0.500 0.500 0.000
Pb1 Pb 0.500 0.500 0.500
# * energy of formation from the pure elements: -0.59 eV/atom
# * polymorph energy (0 for the lowest one): 0.57 eV per formula unit

=====

Entry 11:
# Sm2BiPb, optimized geometry, DFT PBE
data_Sm2BiPb
_chemical_formula_sum 'Sm8 Bi4 Pb4'
_symmetry_space_group_name_H-M 'C m c m'
_symmetry_Int_Tables_number 63
_symmetry_space_group_name_Hall '-C 2c 2'
_cell_length_a 4.618
_cell_length_b 24.766
_cell_length_c 4.508
_cell_angle_alpha 90.00
_cell_angle_beta 90.00
_cell_angle_gamma 90.00
loop_
_atom_site_label
_atom_site_type_symbol
_atom_site_fract_x
_atom_site_fract_y
_atom_site_fract_z
Sm1 Sm 0.000 0.062 0.250
Sm2 Sm 0.000 0.316 0.250
Bi1 Bi 0.000 0.188 0.250
Pb1 Pb 0.000 0.451 0.250
# * energy of formation from the pure elements: -0.73 eV/atom
# * polymorph energy (0 for the lowest one): 0.00 eV per formula unit

=====

Entry 12:
# Sm3BiPb, optimized geometry, DFT PBE
data_Sm3BiPb
_chemical_formula_sum 'Sm24 Bi8 Pb8'
_symmetry_space_group_name_H-M 'C 1 2/c 1'
_symmetry_Int_Tables_number 15
_cell_length_a 14.908
_cell_length_b 7.981
_cell_length_c 12.440
_cell_angle_alpha 90.00
_cell_angle_beta 107.99
_cell_angle_gamma 90.00
loop_
_symmetry_equiv_pos_as_xyz
'x,y,z'
'-x,-y,-z'
'-x,y,-z+1/2'
'x,-y,z+1/2'
'x+1/2,y+1/2,z'
'-x+1/2,-y+1/2,-z'
'-x+1/2,y+1/2,-z+1/2'
'x+1/2,-y+1/2,z+1/2'
loop_
_atom_site_label
_atom_site_type_symbol
_atom_site_fract_x
_atom_site_fract_y
_atom_site_fract_z
Sm1 Sm 0.037 0.243 0.017
Sm2 Sm 0.125 0.083 0.775
Sm3 Sm 0.194 0.415 0.361
Bi1 Bi 0.165 0.403 0.613
Pb1 Pb 0.000 0.245 0.250
Pb2 Pb 0.250 0.250 0.000
# * energy of formation from the pure elements: -0.37 eV/atom

=====

For reference, total magnetic moment by record: 0.00; 0.00; 0.00; 2.96; 0.00; 0.00; 0.00; 0.00; 0.00; 0.00; 0.00; 0.01 μB/cell.